1.
Compound: Y3UTl3Te8
Source: the Alexandria database
Functional: PBE
Structure: optimized geometry

```
Y3UTl3Te8
1.0
-1.811 -8.315 2.360
1.395 1.975 -8.493
7.734 -0.022 5.857
Y U Tl Te
3 1 3 8
direct
0.500 0.000 0.500
0.500 0.500 0.500
0.000 0.500 0.500
0.000 0.000 0.500
0.000 0.000 0.000
0.000 0.500 0.000
0.500 0.500 0.000
0.262 0.524 0.286
0.738 0.476 0.714
0.763 0.527 0.288
0.237 0.473 0.712
0.763 0.025 0.288
0.237 0.975 0.712
0.261 0.025 0.288
0.739 0.975 0.712
```

Values from the calculation:
- SG: R-3m, No. 166
- E_form (uncorrected): -973.2 meV/atom
- Final energy: -77.5 eV per cell

=====

2.
Compound: BaSnO3
Source: the Alexandria database
Functional: PBE
Structure: optimized geometry

```
BaSnO3
1.0
2.005 -7.338 0.000
2.005 7.338 0.000
0.000 0.000 5.850
Ba O Sn
2 6 2
direct
0.156 0.844 0.250
0.844 0.156 0.750
0.005 0.365 0.250
0.635 0.995 0.250
0.365 0.005 0.750
0.995 0.635 0.750
0.000 0.000 0.000
0.000 0.000 0.500
0.456 0.544 0.250
0.544 0.456 0.750
```

Values from the calculation:
- SG: Cmcm, No. 63
- E_form (uncorrected): -1237.8 meV/atom
- Final energy: -54.0 eV per cell

=====

3.
Compound: AgTe2Se6
Source: the Alexandria database
Functional: PBE
Structure: optimized geometry

```
AgTe2Se6
1.0
-0.055 4.615 2.836
-0.286 2.954 -7.260
-6.473 -1.658 3.700
Ag Te Se
1 2 6
direct
0.000 0.000 0.000
0.510 0.333 0.674
0.490 0.667 0.326
0.771 0.095 0.710
0.881 0.705 0.061
0.831 0.388 0.394
0.119 0.295 0.939
0.229 0.905 0.290
0.169 0.612 0.606
```

Values from the calculation:
- SG: P-1, No. 2
- E_form (uncorrected): 75.9 meV/atom
- Final energy: -29.4 eV per cell

=====

4.
Compound: KMo2Au
Source: the Alexandria database
Functional: PBE
Structure: optimized geometry

```
KMo2Au
1.0
-1.175 -2.005 -1.460
0.168 -1.676 2.167
-9.376 3.177 3.183
Au K Mo
1 1 2
direct
0.000 0.000 0.465
0.500 0.500 0.736
0.000 0.000 0.042
0.500 0.500 0.256
```

Values from the calculation:
- ΔH_f (0 K): 15.19 kcal/mol of atoms
- SG: P4mm, No. 99
- Final energy: -23.4 eV per cell

=====

5.
Compound: PCSe
Source: the Alexandria database
Functional: PBE
Structure: optimized geometry

```
PCSe
1.0
5.231 -0.003 0.000
0.103 5.595 0.023
1.814 0.709 5.240
P C Se
2 2 2
direct
0.830 0.249 0.301
0.170 0.751 0.699
0.361 0.992 0.506
0.639 0.008 0.494
0.268 0.253 0.283
0.732 0.747 0.717
```

Values from the calculation:
- SG: P-1, No. 2
- E_form (uncorrected): 539.9 meV/atom
- Final energy: -33.0 eV per cell

=====

6.
Compound: Pm6Ir2PbBr3
Source: the Alexandria database
Functional: PBE
Structure: optimized geometry

```
Pm6Ir2PbBr3
1.0
-0.115 -3.863 1.722
8.365 -1.686 -3.221
1.203 5.900 8.119
Pm Ir Pb Br
6 2 1 3
direct
0.333 0.862 0.666
0.681 0.563 0.361
0.667 0.138 0.334
0.026 0.260 0.052
0.974 0.740 0.948
0.319 0.437 0.639
0.829 0.653 0.658
0.171 0.347 0.342
0.500 0.000 0.000
0.500 0.500 0.000
0.835 0.154 0.669
0.165 0.846 0.331
```

Values from the calculation:
- SG: C2/m, No. 12
- E_form (uncorrected): -1016.4 meV/atom
- Final energy: -67.2 eV per cell

=====

7.
Compound: LiSmI4
Source: the Alexandria database
Functional: PBE
Structure: optimized geometry

```
LiSmI4
1.0
-2.816 2.980 -1.676
-3.297 -5.735 -4.657
-3.770 0.151 6.602
Li Sm I
1 1 4
direct
0.000 0.500 0.500
0.500 0.500 0.000
0.000 0.261 0.759
0.000 0.739 0.241
0.500 0.286 0.267
0.500 0.714 0.733
```

Values from the calculation:
- SG: P2/m, No. 10
- E_form (uncorrected): -1325.2 meV/atom
- Final energy: -20.8 eV per cell

=====

8.
Compound: MoIr3
Source: the Alexandria database
Functional: PBE
Structure: optimized geometry

```
MoIr3
1.0
5.224 0.002 -0.003
2.269 4.705 0.003
-3.001 -3.539 2.399
Ir Mo
3 1
direct
0.250 0.251 0.999
0.748 0.749 0.999
0.836 0.500 0.336
0.332 0.000 0.332
```

Values from the calculation:
- ΔH_f (0 K): -4.39 kcal/mol of atoms
- SG: Imm2, No. 44
- Final energy: -38.2 eV per cell

=====

9.
Compound: Sr2PdN
Source: the Alexandria database
Functional: PBE
Structure: optimized geometry

```
Sr2PdN
1.0
7.407 0.000 0.000
0.000 7.407 0.000
3.703 3.703 3.729
Sr Pd N
4 2 2
direct
0.556 0.125 0.250
0.194 0.625 0.250
0.375 0.444 0.750
0.875 0.806 0.750
0.000 0.000 0.000
0.750 0.250 0.500
0.500 0.500 0.000
0.250 0.750 0.500
```

Values from the calculation:
- SG: I-42d, No. 122
- E_form (uncorrected): -159.1 meV/atom
- Final energy: -35.0 eV per cell

=====

10.
Compound: Pm4Te2AsP
Source: the Alexandria database
Functional: PBE
Structure: optimized geometry

```
Pm4Te2AsP
1.0
4.272 0.000 0.000
0.000 7.389 0.122
0.000 -2.592 7.228
Pm Te As P
4 2 1 1
direct
0.500 0.233 0.215
0.500 0.767 0.785
0.000 0.255 0.782
0.000 0.745 0.218
0.500 0.000 0.500
0.000 0.500 0.500
0.500 0.500 0.000
0.000 0.000 0.000
```

Values from the calculation:
- SG: P2/m, No. 10
- E_form (uncorrected): -1560.7 meV/atom
- Final energy: -47.8 eV per cell

=====

11.
Compound: Li2CeHo2Mg5
Source: the Alexandria database
Functional: PBE
Structure: optimized geometry

```
Li2CeHo2Mg5
1.0
-2.000 0.507 3.943
7.056 -6.480 4.412
6.244 8.234 2.109
Li Ce Ho Mg
4 2 4 10
direct
0.000 0.113 0.613
0.000 0.887 0.387
0.000 0.613 0.887
0.000 0.387 0.113
0.000 0.000 0.000
0.000 0.500 0.500
0.000 0.681 0.181
0.000 0.319 0.819
0.000 0.181 0.319
0.000 0.819 0.681
0.500 0.217 0.061
0.500 0.783 0.939
0.500 0.061 0.783
0.500 0.717 0.439
0.500 0.939 0.217
0.500 0.283 0.561
0.500 0.561 0.717
0.500 0.439 0.283
0.500 0.500 0.000
0.500 0.000 0.500
```

Values from the calculation:
- ΔH_f (0 K): 0.79 kcal/mol of atoms
- SG: P4/mbm, No. 127
- Final energy: -53.1 eV per cell

=====

12.
Compound: K3Dy2AlO6
Source: the Alexandria database
Functional: PBE
Structure: optimized geometry

```
K3Dy2AlO6
1.0
5.761 -0.002 0.001
-2.881 4.989 0.001
-0.960 -1.661 6.205
K Dy Al O
3 2 1 6
direct
0.163 0.837 0.500
0.837 0.163 0.500
0.500 0.500 0.500
0.333 0.667 0.000
0.667 0.333 0.000
0.000 0.000 0.000
0.941 0.640 0.823
0.759 0.759 0.176
0.059 0.360 0.177
0.640 0.941 0.823
0.241 0.241 0.824
0.360 0.059 0.177
```

Values from the calculation:
- SG: C2/m, No. 12
- E_form (uncorrected): -2542.7 meV/atom
- Final energy: -76.5 eV per cell